The following is a PBE-GGA calculation of a geometry-optimized BaMgSi2 structure, from the Alexandria database.

Structure (extended XYZ):
```
4
Lattice="-2.364 3.332 3.688 2.364 -3.332 3.688 2.364 3.332 -3.688" Properties=species:S:1:pos:R:3 pbc="T T T"
Ba 0.000 0.000 0.000
Mg 0.000 0.000 3.688
Si 2.364 0.000 2.493
Si 0.000 3.332 1.195
```

Output
Density of states at the Fermi level in states/eV per atom: 0.565
Raw formation energy in eV/atom: -0.04
Space-group type: Immm, No. 71

The following is a PBE-GGA calculation of a geometry-optimized TlC3 structure, from the Alexandria database.

Structure (extended XYZ):
```
8
Lattice="4.603 0.000 0.000 0.000 4.603 0.000 0.000 0.000 4.603" Properties=species:S:1:pos:R:3 pbc="T T T"
Tl 0.000 0.000 0.000
Tl 2.302 2.302 2.302
C 0.000 1.151 2.302
C 0.000 3.452 2.302
C 1.151 2.302 0.000
C 2.302 0.000 1.151
C 2.302 0.000 3.452
C 3.452 2.302 0.000
```

Output
Density of states at the Fermi level in states/eV per atom: 0.492
Formation enthalpy at 0 K in kJ/mol of formula units: 1453
Space-group type: Pm-3n, No. 223
Offset from the most stable computed form in eV/atom: 2.985

The following is a PBE-GGA calculation of a geometry-optimized Tb2PmNpO8 structure, from the Alexandria database.

Structure (extended XYZ):
```
12
Lattice="3.913 0.000 0.000 0.000 7.502 0.000 -0.366 0.000 5.420" Properties=species:S:1:pos:R:3 pbc="T T T"
Tb 0.000 1.821 0.000
Tb 0.000 5.681 0.000
Pm 1.774 0.000 2.710
Np 1.774 3.751 2.710
O -0.253 0.000 4.105
O 0.069 3.751 1.500
O 1.583 2.111 4.001
O 1.583 5.392 4.001
O 1.964 2.111 1.419
O 1.964 5.392 1.419
O 3.479 3.751 3.920
O 3.800 0.000 1.316
```

Output
Density of states at the Fermi level in states/eV per atom: 0.104
Raw formation energy in eV/atom: -3.18
Space-group type: P2/m, No. 10

The following is a PBE-GGA calculation of a geometry-optimized La2InW structure, from the Alexandria database.

Structure (extended XYZ):
```
4
Lattice="3.437 0.000 0.000 0.000 3.437 0.000 0.000 0.000 9.299" Properties=species:S:1:pos:R:3 pbc="T T T"
La 0.000 0.000 1.958
La 0.000 0.000 7.341
In 1.719 1.719 4.650
W 1.719 1.719 0.000
```

Output
Density of states at the Fermi level in states/eV per atom: 1.481
Formation enthalpy at 0 K in kJ/mol of formula units: 105
Space-group type: P4/mmm, No. 123

The following is a PBE-GGA calculation of a geometry-optimized Al2InCl structure, from the Alexandria database.

Structure (extended XYZ):
```
4
Lattice="3.113 0.000 0.000 0.000 5.140 0.000 0.000 0.000 5.357" Properties=species:S:1:pos:R:3 pbc="T T T"
Al 0.000 0.000 0.000
Al 1.557 2.570 0.000
In 0.000 2.570 2.679
Cl 1.557 0.000 2.679
```

Output
Density of states at the Fermi level in states/eV per atom: 0.306
Raw formation energy in eV/atom: -0.06
Space-group type: Pmmm, No. 47
Offset from the most stable computed form in eV/atom: 0.148

The following is a PBE-GGA calculation of a geometry-optimized TlPtICl2 structure, from the Alexandria database.

Structure (extended XYZ):
```
5
Lattice="5.060 0.000 0.000 0.000 5.060 0.000 0.000 0.000 6.686" Properties=species:S:1:pos:R:3 pbc="T T T"
Tl 0.000 0.000 0.000
Pt 2.530 2.530 3.343
I 0.000 0.000 3.343
Cl 0.000 2.530 0.000
Cl 2.530 0.000 0.000
```

Output
Density of states at the Fermi level in states/eV per atom: 2.740
Raw formation energy in eV/atom: 0.45
Space-group type: P4/mmm, No. 123

The following is a PBE-GGA calculation of a geometry-optimized TaBi2RhC structure, from the Alexandria database.

Structure (extended XYZ):
```
5
Lattice="5.101 0.000 0.000 0.000 5.101 0.000 0.000 0.000 3.833" Properties=species:S:1:pos:R:3 pbc="T T T"
Ta 0.000 0.000 0.000
Bi 0.000 2.551 1.917
Bi 2.551 0.000 1.917
Rh 2.551 2.551 0.000
C 2.551 2.551 1.917
```

Output
Density of states at the Fermi level in states/eV per atom: 1.066
Formation enthalpy at 0 K in kJ/mol of formula units: 463
Space-group type: P4/mmm, No. 123

The following is a PBE-GGA calculation of a geometry-optimized Cs2Tl2Cd structure, from the Alexandria database.

Structure (extended XYZ):
```
10
Lattice="3.969 -8.246 0.000 3.969 8.246 0.000 -2.365 0.000 7.457" Properties=species:S:1:pos:R:3 pbc="T T T"
Cs 1.092 5.683 5.272
Cs 4.482 5.683 2.185
Cs 1.092 -5.683 5.272
Cs 4.482 -5.683 2.185
Tl -0.535 0.000 7.015
Tl 1.940 0.000 5.104
Tl 3.634 0.000 2.353
Tl 6.109 0.000 0.443
Cd 3.969 2.253 0.000
Cd 3.969 -2.253 0.000
```

Output
Density of states at the Fermi level in states/eV per atom: 0.550
Formation enthalpy at 0 K in kJ/mol of formula units: -23
Space-group type: C2/m, No. 12
Offset from the most stable computed form in eV/atom: 0.027

The following is a PBE-GGA calculation of a geometry-optimized SmSbRh2 structure, from the Alexandria database.

Structure (extended XYZ):
```
8
Lattice="5.200 0.000 0.000 0.000 4.568 0.000 -1.119 0.000 6.776" Properties=species:S:1:pos:R:3 pbc="T T T"
Sm 0.688 1.142 1.499
Sm 3.393 3.426 5.277
Sb 0.760 1.142 4.875
Sb 3.320 3.426 1.901
Rh 1.025 3.426 3.422
Rh 0.760 3.426 6.349
Rh 3.321 1.142 0.427
Rh 3.056 1.142 3.354
```

Output
Density of states at the Fermi level in states/eV per atom: 0.439
Raw formation energy in eV/atom: -0.73
Space-group type: P2_1/m, No. 11

The following is a PBE-GGA calculation of a geometry-optimized NbIn2Cu structure, from the Alexandria database.

Structure (extended XYZ):
```
4
Lattice="3.005 0.000 0.000 0.000 3.005 0.000 0.000 0.000 8.215" Properties=species:S:1:pos:R:3 pbc="T T T"
Nb 0.000 0.000 0.000
In 1.502 1.502 2.203
In 1.502 1.502 6.012
Cu 0.000 0.000 4.107
```

Output
Density of states at the Fermi level in states/eV per atom: 0.266
Formation enthalpy at 0 K in kJ/mol of formula units: 48
Space-group type: P4/mmm, No. 123

The following is a PBE-GGA calculation of a geometry-optimized VFeIr3 structure, from the Alexandria database.

Structure (extended XYZ):
```
5
Lattice="4.442 0.000 0.000 0.000 4.442 0.000 0.000 0.000 4.442" Properties=species:S:1:pos:R:3 pbc="T T T"
V 0.000 0.000 0.000
Fe 2.221 2.221 2.221
Ir 0.000 2.221 2.221
Ir 2.221 0.000 2.221
Ir 2.221 2.221 0.000
```

Output
Density of states at the Fermi level in states/eV per atom: 2.134
Formation enthalpy at 0 K in kJ/mol of formula units: 636
Space-group type: Pm-3m, No. 221
Offset from the most stable computed form in eV/atom: 1.595

The following is a PBE-GGA calculation of a geometry-optimized MgAgH2Se structure, from the Alexandria database.

Structure (extended XYZ):
```
5
Lattice="3.746 0.000 0.000 0.000 3.746 0.000 0.000 0.000 5.842" Properties=species:S:1:pos:R:3 pbc="T T T"
Mg 0.000 0.000 0.000
Ag 1.873 1.873 2.921
H 0.000 1.873 0.000
H 1.873 0.000 0.000
Se 0.000 0.000 2.921
```

Output
Density of states at the Fermi level in states/eV per atom: 0.345
Energy in eV per atom: -2.894
Space-group type: P4/mmm, No. 123

Question: Which formula does entry 7 have?
Answer: TaBi2RhC

Question: What is the density of states at the Fermi level in the eighth record?
Answer: 0.550 states/eV per atom